# 1
AlMoOs2C (PBEsol, relaxed); total magnetic moment = 0.4 Bohr magnetons per cell; mass density = 8.595 g cm⁻³; N(E_F) = 5.42 states/eV per cell; DFT total energy = -34.41 eV/cell
1.0
4.5987 0.0000 0.0000
0.0000 4.5987 0.0000
0.0000 0.0000 4.7087
Al Mo Os C
1 1 2 1
Direct
0.0000 0.0000 0.0000
0.0000 0.0000 0.5000
0.0000 0.5000 0.5000
0.5000 0.0000 0.5000
0.5000 0.5000 0.0000

# 2
Al5C3N (PBEsol, relaxed); energy relative to the lowest polymorph listed for this composition = 0.96 kJ per mole of atoms; total magnetic moment = 0.0 Bohr magnetons per cell; uncorrected formation energy = -3.30 eV/f.u.; mass density = 3.014 g cm⁻³
1.0
3.2921 0.0000 0.0000
-1.6460 2.8510 0.0000
0.0000 0.0000 21.7113
Al C N
10 6 2
Direct
0.0000 0.0000 0.0000
0.0000 0.0000 0.1884
0.0000 0.0000 0.5000
0.0000 0.0000 0.6884
0.3333 0.6667 0.0849
0.3333 0.6667 0.3028
0.3333 0.6667 0.8947
0.6667 0.3333 0.3947
0.6667 0.3333 0.5849
0.6667 0.3333 0.8028
0.0000 0.0000 0.0985
0.0000 0.0000 0.3455
0.0000 0.0000 0.5985
0.0000 0.0000 0.8455
0.3333 0.6667 0.9819
0.6667 0.3333 0.4819
0.3333 0.6667 0.2177
0.6667 0.3333 0.7177

# 3
AlCN2 (PBEsol, relaxed); total magnetic moment = 0.0 Bohr magnetons per cell; uncorrected formation energy = 7.77 eV/f.u.; mass density = 3.459 g cm⁻³; N(E_F) = 1.95 states/eV per cell
1.0
0.0000 2.5243 2.5243
2.5243 0.0000 2.5243
2.5243 2.5243 0.0000
Al C N
1 1 2
Direct
0.0000 0.0000 0.0000
0.5000 0.5000 0.5000
0.2500 0.2500 0.2500
0.7500 0.7500 0.7500

# 4
Al5C3N (PBEsol, relaxed); energy relative to the lowest polymorph listed for this composition = 0.00 kJ per mole of atoms; total magnetic moment = 0.0 Bohr magnetons per cell; uncorrected formation energy = -3.39 eV/f.u.; mass density = 3.068 g cm⁻³
1.0
3.3317 0.0000 0.0000
-1.6658 2.8853 0.0000
0.0000 0.0000 20.8295
Al C N
10 6 2
Direct
0.0000 0.0000 0.1539
0.0000 0.0000 0.3461
0.0000 0.0000 0.6539
0.0000 0.0000 0.8461
0.3333 0.6667 0.0479
0.3333 0.6667 0.2500
0.3333 0.6667 0.4521
0.6667 0.3333 0.5479
0.6667 0.3333 0.7500
0.6667 0.3333 0.9521
0.0000 0.0000 0.0000
0.0000 0.0000 0.5000
0.3333 0.6667 0.1402
0.3333 0.6667 0.3598
0.6667 0.3333 0.6402
0.6667 0.3333 0.8598
0.0000 0.0000 0.2500
0.0000 0.0000 0.7500

Which of these has the lowest mass density? number 2

What is the formula in the second record? Al5C3N

What is the formula in the third record? AlCN2

Look up the total magnetic moment of the first one. 0.4 Bohr magnetons per cell